Model a:
{"formula": "Tm2MgPa", "functional": "PBE", "state": "relaxed", "cell": [[3.379, 0.000, 0.000], [0.000, 3.379, 0.000], [0.000, 0.000, 9.434]], "species": ["Tm", "Tm", "Mg", "Pa"], "frac_coords": [[0.000, 0.000, 0.250], [0.000, 0.000, 0.750], [0.500, 0.500, 0.000], [0.500, 0.500, 0.500]], "dos_ef_per_ev_cell": 4.505, "m_tot_mub_per_cell": 0.1, "crystal_system": "tetragonal"}

---

Model b:
{"formula": "Tm2MgPa", "functional": "PBE", "state": "relaxed", "cell": [[5.550, 0.000, 0.000], [0.000, 5.550, 0.000], [0.000, 0.000, 3.456]], "species": ["Tm", "Tm", "Mg", "Pa"], "frac_coords": [[0.000, 0.500, 0.000], [0.500, 0.000, 0.000], [0.000, 0.000, 0.500], [0.500, 0.500, 0.500]], "dos_ef_per_ev_cell": 6.923, "m_tot_mub_per_cell": 0.0, "crystal_system": "tetragonal"}

---

Computed energies relative to the best structure, in meV per atom: model a 0; model b 145

---

Model a:
{"formula": "Tm2MgPa", "functional": "PBE", "state": "relaxed", "cell": [[3.222, 0.000, 0.000], [-1.611, 2.790, 0.000], [0.000, 0.000, 36.121]], "species": ["Tm", "Tm", "Tm", "Tm", "Tm", "Tm", "Mg", "Mg", "Mg", "Pa", "Pa", "Pa"], "frac_coords": [[0.000, 0.000, 0.089], [0.000, 0.000, 0.911], [0.333, 0.667, 0.578], [0.333, 0.667, 0.755], [0.667, 0.333, 0.245], [0.667, 0.333, 0.422], [0.000, 0.000, 0.500], [0.333, 0.667, 0.167], [0.667, 0.333, 0.833], [0.000, 0.000, 0.000], [0.333, 0.667, 0.667], [0.667, 0.333, 0.333]], "dos_ef_per_ev_cell": 18.419, "m_tot_mub_per_cell": 0.0, "crystal_system": "trigonal"}

---

Model b:
{"formula": "Tm2MgPa", "functional": "PBE", "state": "relaxed", "cell": [[7.597, 0.000, 0.000], [0.000, 7.597, 0.000], [0.000, 0.000, 7.597]], "species": ["Tm", "Tm", "Tm", "Tm", "Tm", "Tm", "Tm", "Tm", "Mg", "Mg", "Mg", "Mg", "Pa", "Pa", "Pa", "Pa"], "frac_coords": [[0.250, 0.250, 0.250], [0.250, 0.250, 0.750], [0.250, 0.750, 0.250], [0.250, 0.750, 0.750], [0.750, 0.250, 0.250], [0.750, 0.250, 0.750], [0.750, 0.750, 0.250], [0.750, 0.750, 0.750], [0.000, 0.000, 0.000], [0.000, 0.500, 0.500], [0.500, 0.000, 0.500], [0.500, 0.500, 0.000], [0.000, 0.000, 0.500], [0.000, 0.500, 0.000], [0.500, 0.000, 0.000], [0.500, 0.500, 0.500]], "dos_ef_per_ev_cell": 28.920, "m_tot_mub_per_cell": 10.3, "crystal_system": "cubic"}

---

Computed energies relative to the best structure, in meV per atom: model a 0; model b 67